## ZnTcCl2 (PBE)

Data for a geometry-optimized ZnTcCl2 structure.

Cell lengths 9.8582, 9.8582, 9.8582 Å; angles 19.37, 19.37, 19.37 degrees
Atoms (fractional coordinates):
Zn  0.0000  0.0000  0.0000
Tc  0.5000  0.5000  0.5000
Cl  0.1143  0.1143  0.1143
Cl  0.8857  0.8857  0.8857

Values from the calculation:
* final energy: -3.759 eV/atom
* ΔE to the lowest computed polymorph: 323 meV per atom
* formation energy from raw total energies: 74.5 meV per atom


## ErLuAgSn (PBE)

Data for a geometry-optimized ErLuAgSn structure.

Cell lengths 5.1596, 5.1596, 5.1596 Å; angles 60.00, 60.00, 60.00 degrees
Atoms (fractional coordinates):
Er  0.0000  0.0000  0.0000
Lu  0.5000  0.5000  0.5000
Ag  0.2500  0.2500  0.2500
Sn  0.7500  0.7500  0.7500

Values from the calculation:
* energy of formation from the pure elements: -0.468 eV per atom
* final energy: -4.453 eV/atom


## ZnRhAu2 (PBE)

Data for a geometry-optimized ZnRhAu2 structure.

Cell lengths 2.8235, 2.8235, 9.2397 Å; angles 90.00, 90.00, 117.42 degrees
Atoms (fractional coordinates):
Zn  0.0000  0.0000  0.0000
Rh  0.0000  0.0000  0.5000
Au  0.5000  0.5000  0.2433
Au  0.5000  0.5000  0.7567

Values from the calculation:
* energy of formation from the pure elements: 0.079 eV per atom
* final energy: -3.716 eV/atom


## AcNd2As (PBE)

Data for a geometry-optimized AcNd2As structure.

Cell lengths 3.8837, 3.8837, 8.2680 Å; angles 90.00, 90.00, 90.00 degrees
Atoms (fractional coordinates):
Ac  0.0000  0.0000  0.0000
Nd  0.5000  0.5000  0.3094
Nd  0.5000  0.5000  0.6906
As  0.0000  0.0000  0.5000

Values from the calculation:
* energy of formation from the pure elements: -0.552 eV per atom
* final energy: -5.126 eV/atom
* ΔE to the lowest computed polymorph: 106 meV per atom


## LaDyErZr (PBE)

Data for a geometry-optimized LaDyErZr structure.

Cell lengths 5.5331, 5.5331, 5.5331 Å; angles 60.00, 60.00, 60.00 degrees
Atoms (fractional coordinates):
La  0.0000  0.0000  0.0000
Dy  0.7500  0.7500  0.7500
Er  0.2500  0.2500  0.2500
Zr  0.5000  0.5000  0.5000

Values from the calculation:
* energy of formation from the pure elements: 0.216 eV per atom
* final energy: -5.444 eV/atom


## Th2U2Te7 (PBE)

Data for a geometry-optimized Th2U2Te7 structure.

Cell lengths 9.6811, 9.6811, 9.6811 Å; angles 154.04, 67.42, 119.01 degrees
Atoms (fractional coordinates):
Th  0.2402  0.0000  0.2402
Th  0.7598  0.0000  0.7598
U  0.3254  0.8254  0.5000
U  0.7743  0.7743  0.0000
Te  0.0263  0.7047  0.3216
Te  0.0872  0.0872  0.0000
Te  0.3830  0.7047  0.6784
Te  0.3859  0.4947  0.8912
Te  0.6035  0.4947  0.1088
Te  0.6698  0.3105  0.3594
Te  0.9511  0.3105  0.6406

Values from the calculation:
* final energy: -6.324 eV/atom
* ΔE to the lowest computed polymorph: 0 meV per atom
* formation energy from raw total energies: -923.3 meV per atom


## YTc2Sb (PBE)

Data for a geometry-optimized YTc2Sb structure.

Cell lengths 5.0706, 5.0706, 4.8713 Å; angles 107.67, 107.67, 44.86 degrees
Atoms (fractional coordinates):
Y  0.0000  0.0000  0.0000
Tc  0.2333  0.2333  0.6477
Tc  0.7667  0.7667  0.3523
Sb  0.5000  0.5000  0.5000

Values from the calculation:
* final energy: -7.786 eV/atom
* formation energy from raw total energies: 43.2 meV per atom


## La3NbC (PBE)

Data for a geometry-optimized La3NbC structure.

Cell lengths 5.1450, 5.1450, 5.1450 Å; angles 90.00, 90.00, 90.00 degrees
Atoms (fractional coordinates):
La  0.0000  0.0000  0.5000
La  0.0000  0.5000  0.0000
La  0.5000  0.0000  0.0000
Nb  0.5000  0.5000  0.5000
C  0.0000  0.0000  0.0000

Values from the calculation:
* energy of formation from the pure elements: 0.434 eV per atom
* final energy: -6.381 eV/atom
* ΔE to the lowest computed polymorph: 0 meV per atom


What is the final energy in the sixth record? -6.324 eV/atom